1.
# CsPdC3 PBE relaxed
# DFT formation energy	4.300	eV per atom
# crystal system	cubic
# ρ	5.0	g/cm³
# total energy	-12.22	eV/cell
data_CsPdC3
_symmetry_space_group_name_H-M 'P m -3 m'
_symmetry_Int_Tables_number 221
_symmetry_space_group_name_Hall '-P 4 2 3'
_cell_length_a 4.510
_cell_length_b 4.510
_cell_length_c 4.510
_cell_angle_alpha 90.00
_cell_angle_beta 90.00
_cell_angle_gamma 90.00
loop_
_atom_site_label
_atom_site_type_symbol
_atom_site_fract_x
_atom_site_fract_y
_atom_site_fract_z
Cs1 Cs 0.000 0.000 0.000
Pd1 Pd 0.500 0.500 0.500
C1 C 0.000 0.000 0.500

2.
# KCuNi2 PBE relaxed
# energy above the lowest structure with this stoichiometry	0.390	eV per atom
# DFT formation energy	0.687	eV per atom
# crystal system	tetragonal
# ρ	4.1	g/cm³
# total energy	-56.03	eV/cell
data_KCuNi2
_symmetry_space_group_name_H-M 'I 41/a m d'
_symmetry_Int_Tables_number 141
_cell_length_a 4.670
_cell_length_b 4.670
_cell_length_c 16.538
_cell_angle_alpha 90.00
_cell_angle_beta 90.00
_cell_angle_gamma 90.00
loop_
_symmetry_equiv_pos_as_xyz
'x,y,z'
'-x,-y,-z'
'-y+1/4,x+3/4,z+1/4'
'y+1/4,-x+3/4,-z+1/4'
'-x+1/2,-y,z+1/2'
'x+1/2,y,-z+1/2'
'y+1/4,-x+1/4,z+3/4'
'-y+1/4,x+1/4,-z+3/4'
'x,-y,-z'
'-x,y,z'
'-y+1/4,-x+1/4,-z+3/4'
'y+1/4,x+1/4,z+3/4'
'-x+1/2,y,-z+1/2'
'x+1/2,-y,z+1/2'
'y+1/4,x+3/4,-z+1/4'
'-y+1/4,-x+3/4,z+1/4'
'x+1/2,y+1/2,z+1/2'
'-x+1/2,-y+1/2,-z+1/2'
'-y+3/4,x+1/4,z+3/4'
'y+3/4,-x+1/4,-z+3/4'
'-x,-y+1/2,z'
'x,y+1/2,-z'
'y+3/4,-x+3/4,z+1/4'
'-y+3/4,x+3/4,-z+1/4'
'x+1/2,-y+1/2,-z+1/2'
'-x+1/2,y+1/2,z+1/2'
'-y+3/4,-x+3/4,-z+1/4'
'y+3/4,x+3/4,z+1/4'
'-x,y+1/2,-z'
'x,-y+1/2,z'
'y+3/4,x+1/4,-z+3/4'
'-y+3/4,-x+1/4,z+3/4'
loop_
_atom_site_label
_atom_site_type_symbol
_atom_site_fract_x
_atom_site_fract_y
_atom_site_fract_z
K1 K 0.000 0.250 0.375
Cu1 Cu 0.000 0.250 0.875
Ni1 Ni 0.000 0.000 0.000

3.
# InCoNiAs PBE relaxed
# energy above the lowest structure with this stoichiometry	0.080	eV per atom
# DFT formation energy	-0.009	eV per atom
# crystal system	orthorhombic
# ρ	8.0	g/cm³
# total energy	-40.62	eV/cell
data_InCoNiAs
_symmetry_space_group_name_H-M 'I m m 2'
_symmetry_Int_Tables_number 44
_symmetry_space_group_name_Hall 'I 2 -2'
_cell_length_a 3.080
_cell_length_b 3.263
_cell_length_c 12.630
_cell_angle_alpha 90.00
_cell_angle_beta 90.00
_cell_angle_gamma 90.00
loop_
_atom_site_label
_atom_site_type_symbol
_atom_site_fract_x
_atom_site_fract_y
_atom_site_fract_z
In1 In 0.000 0.000 0.000
Co1 Co 0.000 0.000 0.387
Ni1 Ni 0.000 0.000 0.617
As1 As 0.000 0.500 0.750

4.
# RhSe3O9 PBE relaxed
# crystal system	monoclinic
# ρ	4.2	g/cm³
# total energy	-278.89	eV/cell
data_RhSe3O9
_symmetry_space_group_name_H-M 'C 1 c 1'
_symmetry_Int_Tables_number 9
_symmetry_space_group_name_Hall 'C -2yc'
_cell_length_a 13.667
_cell_length_b 6.769
_cell_length_c 9.506
_cell_angle_alpha 90.00
_cell_angle_beta 119.04
_cell_angle_gamma 90.00
loop_
_atom_site_label
_atom_site_type_symbol
_atom_site_fract_x
_atom_site_fract_y
_atom_site_fract_z
Rh1 Rh 0.000 0.206 0.000
Se1 Se 0.106 0.452 0.789
Se2 Se 0.258 0.026 0.293
Se3 Se 0.368 0.380 0.720
O1 O 0.019 0.280 0.803
O2 O 0.025 0.480 0.084
O3 O 0.147 0.367 0.419
O4 O 0.166 0.124 0.109
O5 O 0.213 0.330 0.793
O6 O 0.338 0.241 0.358
O7 O 0.353 0.109 0.733
O8 O 0.457 0.427 0.923
O9 O 0.482 0.373 0.686

5.
# UTiNbIr PBE relaxed
# DFT formation energy	-0.083	eV per atom
# crystal system	cubic
# ρ	13.6	g/cm³
# total energy	-153.78	eV/cell
data_UTiNbIr
_symmetry_space_group_name_H-M 'F -4 3 m'
_symmetry_Int_Tables_number 216
_symmetry_space_group_name_Hall 'F -4 2 3'
_cell_length_a 6.528
_cell_length_b 6.528
_cell_length_c 6.528
_cell_angle_alpha 90.00
_cell_angle_beta 90.00
_cell_angle_gamma 90.00
loop_
_atom_site_label
_atom_site_type_symbol
_atom_site_fract_x
_atom_site_fract_y
_atom_site_fract_z
U1 U 0.000 0.000 0.000
Ti1 Ti 0.250 0.250 0.750
Nb1 Nb 0.250 0.250 0.250
Ir1 Ir 0.000 0.000 0.500

6.
# SrHg11 PBE relaxed
# energy above the lowest structure with this stoichiometry	0.013	eV per atom
# DFT formation energy	-0.100	eV per atom
# crystal system	tetragonal
# ρ	10.7	g/cm³
# total energy	-24.82	eV/cell
data_SrHg11
_symmetry_space_group_name_H-M 'I 41/a m d'
_symmetry_Int_Tables_number 141
_cell_length_a 14.352
_cell_length_b 14.352
_cell_length_c 6.904
_cell_angle_alpha 90.00
_cell_angle_beta 90.00
_cell_angle_gamma 90.00
loop_
_symmetry_equiv_pos_as_xyz
'x,y,z'
'-x,-y,-z'
'-y+1/4,x+3/4,z+1/4'
'y+1/4,-x+3/4,-z+1/4'
'-x+1/2,-y,z+1/2'
'x+1/2,y,-z+1/2'
'y+1/4,-x+1/4,z+3/4'
'-y+1/4,x+1/4,-z+3/4'
'x,-y,-z'
'-x,y,z'
'-y+1/4,-x+1/4,-z+3/4'
'y+1/4,x+1/4,z+3/4'
'-x+1/2,y,-z+1/2'
'x+1/2,-y,z+1/2'
'y+1/4,x+3/4,-z+1/4'
'-y+1/4,-x+3/4,z+1/4'
'x+1/2,y+1/2,z+1/2'
'-x+1/2,-y+1/2,-z+1/2'
'-y+3/4,x+1/4,z+3/4'
'y+3/4,-x+1/4,-z+3/4'
'-x,-y+1/2,z'
'x,y+1/2,-z'
'y+3/4,-x+3/4,z+1/4'
'-y+3/4,x+3/4,-z+1/4'
'x+1/2,-y+1/2,-z+1/2'
'-x+1/2,y+1/2,z+1/2'
'-y+3/4,-x+3/4,-z+1/4'
'y+3/4,x+3/4,z+1/4'
'-x,y+1/2,-z'
'x,-y+1/2,z'
'y+3/4,x+1/4,-z+3/4'
'-y+3/4,-x+1/4,z+3/4'
loop_
_atom_site_label
_atom_site_type_symbol
_atom_site_fract_x
_atom_site_fract_y
_atom_site_fract_z
Sr1 Sr 0.000 0.250 0.375
Hg1 Hg 0.000 0.000 0.000
Hg2 Hg 0.000 0.250 0.875
Hg3 Hg 0.121 0.083 0.634

7.
# SrRuBrCl2 PBE relaxed
# crystal system	tetragonal
# ρ	4.7	g/cm³
# total energy	-20.42	eV/cell
data_SrRuBrCl2
_symmetry_space_group_name_H-M 'P 4/m m m'
_symmetry_Int_Tables_number 123
_symmetry_space_group_name_Hall '-P 4 2'
_cell_length_a 4.872
_cell_length_b 4.872
_cell_length_c 5.107
_cell_angle_alpha 90.00
_cell_angle_beta 90.00
_cell_angle_gamma 90.00
loop_
_atom_site_label
_atom_site_type_symbol
_atom_site_fract_x
_atom_site_fract_y
_atom_site_fract_z
Sr1 Sr 0.000 0.000 0.000
Ru1 Ru 0.500 0.500 0.500
Br1 Br 0.500 0.500 0.000
Cl1 Cl 0.000 0.500 0.500

8.
# CsKHg2 PBE relaxed
# energy above the lowest structure with this stoichiometry	0.105	eV per atom
# DFT formation energy	-0.131	eV per atom
# crystal system	trigonal
# ρ	4.7	g/cm³
# total energy	-9.23	eV/cell
data_CsKHg2
_symmetry_space_group_name_H-M 'R 3 m'
_symmetry_Int_Tables_number 160
_symmetry_space_group_name_Hall 'R 3 -2"'
_cell_length_a 5.2029
_cell_length_b 5.2029
_cell_length_c 26.0976
_cell_angle_alpha 90.00
_cell_angle_beta 90.00
_cell_angle_gamma 120.00
loop_
_atom_site_label
_atom_site_type_symbol
_atom_site_fract_x
_atom_site_fract_y
_atom_site_fract_z
Cs1 Cs 0.0000 0.0000 0.0000
K1 K 0.0000 0.0000 0.1740
Hg1 Hg 0.0000 0.0000 0.5791
Hg2 Hg 0.0000 0.0000 0.7625

> total energy of number 2 (KCuNi2)?

-56.03 eV/cell

> The lowest ρ belongs to which entry?

KCuNi2

> The highest ρ belongs to which entry?

UTiNbIr

> Look up the total energy of the fourth one.

-278.89 eV/cell